No. 1
DFT (PBE-GGA) results for a geometry-optimized Cs2NbPtCl6 structure.

Cell: 7.5082 7.5082 7.5082 Å, 112.66 112.66 103.26°
With the nearest neighbours (Å) after each atom.
Sites, in units of the cell vectors:
Cs  0.2500  0.7500  0.5000  12 Cl 3.78-4.16
Cs  0.7500  0.2500  0.5000  12 Cl 3.78-4.16
Nb  0.0000  0.0000  0.0000  6 Cl 2.43-2.47
Pt  0.5000  0.5000  0.0000  2 Cl 2.23
Cl  0.2098  0.2098  0.4196  1 Nb 2.47
Cl  0.2098  0.7902  0.0000  1 Nb 2.47
Cl  0.2602  0.2602  0.0000  1 Pt 2.23, 1 Nb 2.43
Cl  0.7398  0.7398  0.0000  1 Pt 2.23, 1 Nb 2.43
Cl  0.7902  0.2098  0.0000  1 Nb 2.47
Cl  0.7902  0.7902  0.5804  1 Nb 2.47

Values from the calculation:
Its total energy is -40.67 eV per cell. The calculation puts the magnetization at 1.0 μB per formula unit. As for the energy relative to the elements, uncorrected: -1.18 eV/atom. As for the space-group type: I4/mmm.



No. 2
DFT (PBE-GGA) results for a geometry-optimized Cs2RbNbCl8 structure.

Cell: 5.9316 8.0616 10.4920 Å, 89.86 89.96 73.83°
With the nearest neighbours (Å) after each atom.
Sites, in units of the cell vectors:
Cs  0.9999  0.9996  0.2359  2 Cl 3.27
Cs  0.0001  0.0004  0.7641  2 Cl 3.27
Rb  0.5000  0.5000  0.0000  4 Cl 3.36-3.72
Nb  0.5000  0.5000  0.5000  6 Cl 2.37-2.39
Cl  0.0576  0.2509  0.9998  2 Cs 3.27, 1 Rb 3.36
Cl  0.1118  0.6867  0.5010  1 Nb 2.37
Cl  0.3999  0.3272  0.3361  1 Nb 2.39
Cl  0.4011  0.3224  0.6617  1 Nb 2.39
Cl  0.5989  0.6776  0.3383  1 Nb 2.39
Cl  0.6001  0.6728  0.6639  1 Nb 2.39
Cl  0.8882  0.3133  0.4990  1 Nb 2.37
Cl  0.9424  0.7491  0.0002  2 Cs 3.27, 1 Rb 3.36

Values from the calculation:
Its total energy is -46.41 eV per cell. The calculation puts the magnetization at 0.0 μB per formula unit. As for the energy relative to the elements, uncorrected: -1.57 eV/atom. As for the space-group type: P-1.



No. 3
DFT (PBE-GGA) results for a geometry-optimized CsRb2NbCl8 structure.

Cell: 6.0142 7.7414 10.2856 Å, 90.00 89.95 72.79°
With the nearest neighbours (Å) after each atom.
Sites, in units of the cell vectors:
Cs  0.0000  0.0000  0.0000  8 Cl 3.56-3.83
Rb  0.4983  0.4999  0.2299  2 Cl 3.12
Rb  0.5017  0.5001  0.7701  2 Cl 3.12
Nb  0.0000  0.0000  0.5000  6 Cl 2.38-2.39
Cl  0.0944  0.1835  0.3347  1 Nb 2.39
Cl  0.0939  0.1840  0.6650  1 Nb 2.39
Cl  0.3890  0.8034  0.5001  1 Nb 2.38
Cl  0.4055  0.2678  0.9996  2 Rb 3.12
Cl  0.5945  0.7322  0.0004  2 Rb 3.12
Cl  0.6110  0.1966  0.4999  1 Nb 2.38
Cl  0.9061  0.8160  0.3350  1 Nb 2.39
Cl  0.9056  0.8165  0.6653  1 Nb 2.39

Values from the calculation:
Its total energy is -46.46 eV per cell. The calculation puts the magnetization at 0.0 μB per formula unit. As for the energy relative to the elements, uncorrected: -1.57 eV/atom. As for the space-group type: P-1.



No. 4
DFT (PBE-GGA) results for a geometry-optimized Cs2NbReCl6 structure.

Cell: 7.1732 7.1732 7.1732 Å, 60.00 60.00 60.00°
With the nearest neighbours (Å) after each atom.
Sites, in units of the cell vectors:
Cs  0.2500  0.2500  0.2500  12 Cl 3.59
Cs  0.7500  0.7500  0.7500  12 Cl 3.59
Nb  0.0000  0.0000  0.0000  6 Cl 2.60
Re  0.5000  0.5000  0.5000  6 Cl 2.48
Cl  0.2559  0.2559  0.7441  1 Re 2.48, 1 Nb 2.60
Cl  0.2559  0.7441  0.2559  1 Re 2.48, 1 Nb 2.60
Cl  0.2559  0.7441  0.7441  1 Re 2.48, 1 Nb 2.60
Cl  0.7441  0.2559  0.2559  1 Re 2.48, 1 Nb 2.60
Cl  0.7441  0.2559  0.7441  1 Re 2.48, 1 Nb 2.60
Cl  0.7441  0.7441  0.2559  1 Re 2.48, 1 Nb 2.60

Values from the calculation:
Its total energy is -43.82 eV per cell. The calculation puts the magnetization at 2.0 μB per formula unit. As for the energy relative to the elements, uncorrected: -0.85 eV/atom. As for the space-group type: Fm-3m.